1.
PBE Nd3Ga6Ir5, relaxed; calculated density = 11.5 g/cm3; VASP energy = -6.158 eV per atom; space-group type = Pmmn (59); energy of formation from the pure elements = -674 meV per atom
1.0
4.262 0.000 0.000
0.000 9.514 0.000
0.000 0.000 12.866
Ir Nd Ga
10 6 12
Cartesian
0.000 8.298 8.444
2.131 4.418 7.879
0.000 5.096 1.447
0.000 5.096 11.419
2.131 1.981 6.433
2.131 1.216 10.854
0.000 7.534 0.000
0.000 8.298 4.421
2.131 1.216 2.012
2.131 4.418 4.986
2.131 7.075 6.433
2.131 7.117 10.352
0.000 2.397 8.947
0.000 2.397 3.919
0.000 2.440 0.000
2.131 7.117 2.514
0.000 4.087 6.433
0.000 5.641 8.759
2.131 9.118 0.000
2.131 3.873 2.326
2.131 3.873 10.540
0.000 9.309 10.905
2.131 0.206 8.394
0.000 9.309 1.961
0.000 0.396 6.433
0.000 5.641 4.107
2.131 0.206 4.472
2.131 5.428 0.000


2.
PBE KSrLi2, relaxed; energy relative to the lowest polymorph listed for this composition = 0.065 eV/atom; calculated density = 1.4 g/cm3; VASP energy = -1.480 eV per atom; space-group type = R-3m (166); energy of formation from the pure elements = 172 meV per atom
1.0
-6.148 -9.942 3.256
-3.778 -11.525 0.381
-2.390 -11.144 4.165
Li K Sr
2 1 1
Cartesian
-6.207 -16.435 3.932
-12.268 -32.482 7.771
-9.238 -24.458 5.851
-3.079 -8.153 1.950


3.
PBE Rb3MgH5, relaxed; calculated density = 2.5 g/cm3; VASP energy = -2.578 eV per atom; space-group type = I4/mcm (140)
1.0
-0.134 -7.888 2.580
4.567 1.317 6.804
-6.863 4.319 -1.774
Rb H Mg
6 10 2
Cartesian
-2.823 3.191 3.568
0.221 -2.127 6.446
0.393 -5.443 4.043
1.108 -1.643 2.346
3.325 -4.928 7.038
-2.651 -0.125 1.165
0.000 0.000 0.000
-4.018 -2.550 2.650
-1.580 -3.093 1.118
-1.365 -2.825 4.169
0.169 2.989 4.550
1.588 0.298 4.961
2.216 -3.285 4.692
-0.850 0.841 6.493
-2.598 -5.241 3.060
-1.065 0.574 3.442
-2.390 -3.427 2.749
-0.040 1.175 4.861